Compound: LaCdGa2Au2
Source: Alexandria
Functional: PBE
Structure: relaxed

Geometry as CIF:
```
data_LaCdGa2Au2
_chemical_formula_sum 'La1 Cd1 Ga2 Au2'
_cell_length_a 4.5291
_cell_length_b 4.5291
_cell_length_c 7.2911
_cell_angle_alpha 90.00
_cell_angle_beta 90.00
_cell_angle_gamma 120.00
_symmetry_space_group_name_H-M 'P -3 m 1'
_symmetry_Int_Tables_number 164
_symmetry_space_group_name_Hall '-P 3 2"'
loop_
_atom_site_label
_atom_site_fract_x
_atom_site_fract_y
_atom_site_fract_z
_atom_site_occupancy
La1 0.0000 0.0000 0.0000 1
Cd1 0.0000 0.0000 0.5000 1
Ga1 0.3333 0.6667 0.7274 1
Au1 0.3333 0.6667 0.2926 1
```

As for the crystal system: trigonal. The value obtained for the total energy is -21.69 eV/f.u. For the theoretical density, the calculation gives 10.060 g/cm3. Its density of states at the Fermi level is 0.464 states/eV/atom. For the formation energy, the calculation gives -0.540 eV/atom.